Compound: Ca2ScCr
Source: Alexandria via LeMat-Bulk
Functional: GGA-PBE
Structure: optimized geometry

Unit cell a=4.671 b=4.767 c=5.149 alpha=90.00 beta=90.00 gamma=90.00
Each line ends with the local moment (μB).
Fractional positions:
1 Sc 0.000 0.500 0.500  0.12
2 Ca 0.500 0.500 0.000  0.03
3 Cr 0.500 0.000 0.500  3.82
4 Ca 0.000 0.000 0.000  0.03

Computed properties:
Formation energy from the elements, eV/atom: 0.50
Total magnetization, μB per formula unit: 4.97
DOS(E_F), states/eV/f.u.: 5.067
DFT total energy, eV/atom: -4.49
E above lowest polymorph, eV/atom: 0.2046
Density, g/cm³: 2.56



Compound: Y2TeP2
Source: Alexandria via LeMat-Bulk
Functional: GGA-PBE
Structure: optimized geometry

Unit cell a=3.906 b=3.906 c=8.116 alpha=76.07 beta=76.07 gamma=90.00
Fractional positions:
1 Te 0.000 0.000 0.000
2 P 0.250 0.750 0.500
3 Y 0.619 0.619 0.762
4 Y 0.381 0.381 0.238
5 P 0.750 0.250 0.500

Computed properties:
Total magnetization, μB per formula unit: 0.00
DOS(E_F), states/eV/f.u.: 2.215
DFT total energy, eV/atom: -6.45
E above lowest polymorph, eV/atom: 0.1304
Formation energy from raw total energies, eV per formula unit: -5.361
Density, g/cm³: 5.24